Entry 1:
# PBE CuRh2Au, relaxed
# E_form = 194 meV/atom
# Uncorrected energy = -5.33 eV per atom
# M_tot = 0.00 μB per atom
data_CuRh2Au
_chemical_formula_sum 'Cu1 Rh2 Au1'
_cell_length_a 4.691
_cell_length_b 2.738
_cell_length_c 4.665
_cell_angle_alpha 89.25
_cell_angle_beta 90.00
_cell_angle_gamma 90.00
_space_group_name_H-M_alt 'P 1'
_space_group_IT_number 1
loop_
_space_group_symop_operation_xyz
'x,y,z'
loop_
_atom_site_label
_atom_site_type_symbol
_atom_site_fract_x
_atom_site_fract_y
_atom_site_fract_z
Au1 Au 0.500 0.250 0.250
Cu1 Cu 0.500 0.750 0.750
Rh1 Rh 0.000 0.994 0.992
Rh2 Rh 0.000 0.506 0.508

=====

Entry 2:
# PBE Ti5RuPt2Rh2, relaxed
# E_form = -557 meV/atom
# Uncorrected energy = -8.11 eV per atom
# M_tot = 0.00 μB per atom
data_Ti5RuPt2Rh2
_chemical_formula_sum 'Ti10 Ru2 Pt4 Rh4'
_cell_length_a 2.940
_cell_length_b 10.595
_cell_length_c 10.595
_cell_angle_alpha 90.00
_cell_angle_beta 90.00
_cell_angle_gamma 90.00
_space_group_name_H-M_alt 'P 1'
_space_group_IT_number 1
loop_
_space_group_symop_operation_xyz
'x,y,z'
loop_
_atom_site_label
_atom_site_type_symbol
_atom_site_fract_x
_atom_site_fract_y
_atom_site_fract_z
Ti1 Ti 0.500 0.153 0.135
Ti2 Ti 0.500 0.847 0.865
Ti3 Ti 0.500 0.135 0.847
Ti4 Ti 0.500 0.653 0.365
Ti5 Ti 0.500 0.865 0.153
Ti6 Ti 0.500 0.347 0.635
Ti7 Ti 0.500 0.635 0.653
Ti8 Ti 0.500 0.365 0.347
Ti9 Ti 0.500 0.500 0.000
Ti10 Ti 0.500 0.000 0.500
Ru1 Ru 0.000 0.000 0.000
Ru2 Ru 0.000 0.500 0.500
Pt1 Pt 0.000 0.652 0.152
Pt2 Pt 0.000 0.348 0.848
Pt3 Pt 0.000 0.152 0.348
Pt4 Pt 0.000 0.848 0.652
Rh1 Rh 0.000 0.145 0.645
Rh2 Rh 0.000 0.855 0.355
Rh3 Rh 0.000 0.645 0.855
Rh4 Rh 0.000 0.355 0.145

=====

Entry 3:
# PBE Ho6BiAs4, relaxed
# E_form = -1275 meV/atom
# Uncorrected energy = -5.82 eV per atom
# M_tot = 0.01 μB per atom
data_Ho6BiAs4
_chemical_formula_sum 'Ho12 Bi2 As8'
_cell_length_a 4.149
_cell_length_b 7.044
_cell_length_c 20.771
_cell_angle_alpha 90.00
_cell_angle_beta 90.00
_cell_angle_gamma 107.13
_space_group_name_H-M_alt 'P 1'
_space_group_IT_number 1
loop_
_space_group_symop_operation_xyz
'x,y,z'
loop_
_atom_site_label
_atom_site_type_symbol
_atom_site_fract_x
_atom_site_fract_y
_atom_site_fract_z
Ho1 Ho 0.500 0.000 0.000
Ho2 Ho 0.500 0.000 0.500
Ho3 Ho 0.038 0.076 0.339
Ho4 Ho 0.962 0.924 0.661
Ho5 Ho 0.962 0.924 0.839
Ho6 Ho 0.038 0.076 0.161
Ho7 Ho 0.772 0.544 0.419
Ho8 Ho 0.228 0.456 0.581
Ho9 Ho 0.228 0.456 0.919
Ho10 Ho 0.772 0.544 0.081
Ho11 Ho 0.338 0.677 0.250
Ho12 Ho 0.662 0.323 0.750
Bi1 Bi 0.663 0.327 0.250
Bi2 Bi 0.337 0.673 0.750
As1 As 0.863 0.727 0.543
As2 As 0.406 0.812 0.124
As3 As 0.137 0.273 0.457
As4 As 0.594 0.188 0.876
As5 As 0.863 0.727 0.957
As6 As 0.137 0.273 0.043
As7 As 0.594 0.188 0.624
As8 As 0.406 0.812 0.376

=====

Entry 4:
# PBE BaSrY2, relaxed
# E_form = 319 meV/atom
# Uncorrected energy = -3.81 eV per atom
# M_tot = 0.00 μB per atom
data_BaSrY2
_chemical_formula_sum 'Ba1 Sr1 Y2'
_cell_length_a 6.181
_cell_length_b 6.181
_cell_length_c 6.181
_cell_angle_alpha 60.00
_cell_angle_beta 60.00
_cell_angle_gamma 60.00
_space_group_name_H-M_alt 'P 1'
_space_group_IT_number 1
loop_
_space_group_symop_operation_xyz
'x,y,z'
loop_
_atom_site_label
_atom_site_type_symbol
_atom_site_fract_x
_atom_site_fract_y
_atom_site_fract_z
Y1 Y 0.250 0.250 0.250
Y2 Y 0.750 0.750 0.750
Sr1 Sr 0.000 0.000 0.000
Ba1 Ba 0.500 0.500 0.500

=====

Entry 5:
# PBE Li2ZrMo, relaxed
# E_form = 435 meV/atom
# Uncorrected energy = -5.37 eV per atom
# M_tot = 0.00 μB per atom
data_Li2ZrMo
_chemical_formula_sum 'Li2 Zr1 Mo1'
_cell_length_a 2.639
_cell_length_b 4.978
_cell_length_c 5.369
_cell_angle_alpha 90.00
_cell_angle_beta 90.00
_cell_angle_gamma 90.00
_space_group_name_H-M_alt 'P 1'
_space_group_IT_number 1
loop_
_space_group_symop_operation_xyz
'x,y,z'
loop_
_atom_site_label
_atom_site_type_symbol
_atom_site_fract_x
_atom_site_fract_y
_atom_site_fract_z
Li1 Li 0.000 0.000 0.023
Li2 Li 0.000 0.000 0.477
Mo1 Mo 0.500 0.500 0.250
Zr1 Zr 0.500 0.500 0.750

=====

Entry 6:
# PBE BaGe2I6, relaxed
# Uncorrected formation energy = -698 meV per atom
# Uncorrected energy = -2.97 eV per atom
# M_tot = 0.00 μB per atom
data_BaGe2I6
_chemical_formula_sum 'Ba1 Ge2 I6'
_cell_length_a 8.181
_cell_length_b 8.181
_cell_length_c 10.126
_cell_angle_alpha 66.18
_cell_angle_beta 66.18
_cell_angle_gamma 60.00
_space_group_name_H-M_alt 'P 1'
_space_group_IT_number 1
loop_
_space_group_symop_operation_xyz
'x,y,z'
loop_
_atom_site_label
_atom_site_type_symbol
_atom_site_fract_x
_atom_site_fract_y
_atom_site_fract_z
Ba1 Ba 0.334 0.334 0.999
Ge1 Ge 0.719 0.719 0.842
Ge2 Ge 0.614 0.614 0.158
I1 I 0.712 0.470 0.727
I2 I 0.091 0.712 0.727
I3 I 0.470 0.091 0.727
I4 I 0.292 0.525 0.274
I5 I 0.909 0.292 0.274
I6 I 0.525 0.909 0.274

=====

Entry 7:
# PBE Na4In5Au6, relaxed
# E_form = -286 meV/atom
# Uncorrected energy = -2.86 eV per atom
# M_tot = 0.00 μB per atom
data_Na4In5Au6
_chemical_formula_sum 'Na8 In10 Au12'
_cell_length_a 4.651
_cell_length_b 10.746
_cell_length_c 14.416
_cell_angle_alpha 90.00
_cell_angle_beta 90.00
_cell_angle_gamma 102.50
_space_group_name_H-M_alt 'P 1'
_space_group_IT_number 1
loop_
_space_group_symop_operation_xyz
'x,y,z'
loop_
_atom_site_label
_atom_site_type_symbol
_atom_site_fract_x
_atom_site_fract_y
_atom_site_fract_z
Na1 Na 0.944 0.889 0.289
Na2 Na 0.056 0.111 0.789
Na3 Na 0.131 0.263 0.286
Na4 Na 0.869 0.737 0.786
Na5 Na 0.816 0.633 0.456
Na6 Na 0.184 0.367 0.956
Na7 Na 0.037 0.074 0.504
Na8 Na 0.963 0.926 0.004
In1 In 0.475 0.950 0.660
In2 In 0.525 0.050 0.160
In3 In 0.180 0.360 0.629
In4 In 0.820 0.640 0.129
In5 In 0.650 0.300 0.448
In6 In 0.350 0.700 0.948
In7 In 0.328 0.656 0.610
In8 In 0.672 0.344 0.110
In9 In 0.320 0.641 0.301
In10 In 0.680 0.359 0.801
Au1 Au 0.737 0.473 0.286
Au2 Au 0.416 0.831 0.450
Au3 Au 0.773 0.546 0.947
Au4 Au 0.227 0.454 0.447
Au5 Au 0.467 0.934 0.855
Au6 Au 0.533 0.066 0.355
Au7 Au 0.394 0.789 0.136
Au8 Au 0.606 0.211 0.636
Au9 Au 0.089 0.179 0.097
Au10 Au 0.911 0.821 0.597
Au11 Au 0.584 0.169 0.950
Au12 Au 0.263 0.527 0.786

=====

Entry 8:
# PBE TbPm2SmHo6, relaxed
# E_form = 118 meV/atom
# Uncorrected energy = -4.51 eV per atom
# M_tot = 0.00 μB per atom
data_TbPm2SmHo6
_chemical_formula_sum 'Tb2 Pm4 Sm2 Ho12'
_cell_length_a 9.680
_cell_length_b 8.764
_cell_length_c 8.764
_cell_angle_alpha 118.05
_cell_angle_beta 94.52
_cell_angle_gamma 94.52
_space_group_name_H-M_alt 'P 1'
_space_group_IT_number 1
loop_
_space_group_symop_operation_xyz
'x,y,z'
loop_
_atom_site_label
_atom_site_type_symbol
_atom_site_fract_x
_atom_site_fract_y
_atom_site_fract_z
Tb1 Tb 0.250 0.407 0.593
Tb2 Tb 0.750 0.593 0.407
Pm1 Pm 0.457 0.806 0.704
Pm2 Pm 0.043 0.296 0.194
Pm3 Pm 0.543 0.194 0.296
Pm4 Pm 0.957 0.704 0.806
Sm1 Sm 0.250 0.981 0.019
Sm2 Sm 0.750 0.019 0.981
Ho1 Ho 0.057 0.123 0.743
Ho2 Ho 0.443 0.257 0.877
Ho3 Ho 0.943 0.877 0.257
Ho4 Ho 0.557 0.743 0.123
Ho5 Ho 0.315 0.978 0.427
Ho6 Ho 0.185 0.573 0.022
Ho7 Ho 0.685 0.022 0.573
Ho8 Ho 0.815 0.427 0.978
Ho9 Ho 0.120 0.706 0.494
Ho10 Ho 0.380 0.506 0.294
Ho11 Ho 0.880 0.294 0.506
Ho12 Ho 0.620 0.494 0.706